No. 1
! SrPr2Pd, relaxed, DFT PBE-GGA; values from VASP
! E above lowest polymorph: 73 meV per atom
! E: -17.4 eV/cell
! Crystal system: trigonal
! DOS(E_F): 6.0 states/eV/f.u.
! SG: No. 166
! Calculated formation energy: -0.250 eV per atom
&SYSTEM
  ibrav = 0, nat = 4, ntyp = 3
/
ATOMIC_SPECIES
Sr 87.62 Sr.upf
Pr 140.91 Pr.upf
Pd 106.42 Pd.upf
CELL_PARAMETERS angstrom
2.098 1.211 10.079
-2.098 1.211 10.079
0.000 -2.422 10.079
ATOMIC_POSITIONS crystal
Sr 0.000 0.000 0.000
Pr 0.221 0.221 0.221
Pr 0.779 0.779 0.779
Pd 0.500 0.500 0.500


No. 2
! Mn2ZnCo, relaxed, DFT PBE-GGA; values from VASP
! E: -26.2 eV/cell
! Crystal system: monoclinic
! DOS(E_F): 4.1 states/eV/f.u.
! SG: No. 8
! Calculated formation energy: 0.119 eV per atom
&SYSTEM
  ibrav = 0, nat = 4, ntyp = 3
/
ATOMIC_SPECIES
Mn 54.94 Mn.upf
Zn 65.41 Zn.upf
Co 58.93 Co.upf
CELL_PARAMETERS angstrom
4.663 -1.451 0.000
4.663 1.451 0.000
-1.847 0.000 3.743
ATOMIC_POSITIONS crystal
Mn 0.000 0.000 0.000
Mn 0.237 0.237 0.737
Zn 0.473 0.473 0.473
Co 0.727 0.727 0.228


No. 3
! Mn2TlCu, relaxed, DFT PBE-GGA; values from VASP
! E: -23.0 eV/cell
! Crystal system: monoclinic
! DOS(E_F): 2.5 states/eV/f.u.
! SG: No. 6
! Calculated formation energy: 0.446 eV per atom
&SYSTEM
  ibrav = 0, nat = 4, ntyp = 3
/
ATOMIC_SPECIES
Mn 54.94 Mn.upf
Tl 204.38 Tl.upf
Cu 63.55 Cu.upf
CELL_PARAMETERS angstrom
2.979 0.000 0.000
0.000 4.102 0.000
-1.388 0.000 5.521
ATOMIC_POSITIONS crystal
Mn 0.000 0.000 0.000
Mn 0.367 0.500 0.729
Tl 0.618 0.500 0.245
Cu 0.787 0.000 0.558


No. 4
! LuPa2Ge, relaxed, DFT PBE-GGA; values from VASP
! E above lowest polymorph: 0 meV per atom
! E: -29.1 eV/cell
! Crystal system: tetragonal
! DOS(E_F): 5.0 states/eV/f.u.
! SG: No. 123
! Calculated formation energy: -0.231 eV per atom
&SYSTEM
  ibrav = 0, nat = 4, ntyp = 3
/
ATOMIC_SPECIES
Lu 174.97 Lu.upf
Pa 231.04 Pa.upf
Ge 72.64 Ge.upf
CELL_PARAMETERS angstrom
4.294 0.000 0.000
0.000 4.294 0.000
0.000 0.000 4.955
ATOMIC_POSITIONS crystal
Lu 0.000 0.000 0.000
Pa 0.000 0.500 0.500
Pa 0.500 0.000 0.500
Ge 0.500 0.500 0.000


No. 5
! La2RhPb, relaxed, DFT PBE-GGA; values from VASP
! E: -23.2 eV/cell
! Crystal system: trigonal
! DOS(E_F): 2.8 states/eV/f.u.
! SG: No. 164
! Calculated formation energy: -0.567 eV per atom
&SYSTEM
  ibrav = 0, nat = 4, ntyp = 3
/
ATOMIC_SPECIES
La 138.91 La.upf
Rh 102.91 Rh.upf
Pb 207.20 Pb.upf
CELL_PARAMETERS angstrom
4.404 0.000 0.000
-2.202 3.814 0.000
0.000 0.000 7.353
ATOMIC_POSITIONS crystal
La 0.333 0.667 0.201
La 0.667 0.333 0.799
Rh 0.000 0.000 0.000
Pb 0.000 0.000 0.500


No. 6
! AlOs3Pt, relaxed, DFT PBE-GGA; values from VASP
! E above lowest polymorph: 0 meV per atom
! E: -35.0 eV/cell
! Crystal system: cubic
! DOS(E_F): 5.4 states/eV/f.u.
! SG: No. 221
! Calculated formation energy: 1.687 eV per atom
&SYSTEM
  ibrav = 0, nat = 5, ntyp = 3
/
ATOMIC_SPECIES
Al 26.98 Al.upf
Os 190.23 Os.upf
Pt 195.08 Pt.upf
CELL_PARAMETERS angstrom
4.371 0.000 0.000
0.000 4.371 0.000
0.000 0.000 4.371
ATOMIC_POSITIONS crystal
Al 0.000 0.000 0.000
Os 0.000 0.000 0.500
Os 0.000 0.500 0.000
Os 0.500 0.000 0.000
Pt 0.500 0.500 0.500


No. 7
! MnAsPbSe2, relaxed, DFT PBE-GGA; values from VASP
! E above lowest polymorph: 0 meV per atom
! ΔE_f (raw): 0.020 eV/atom
! E: -24.4 eV/cell
! Crystal system: tetragonal
! DOS(E_F): 3.7 states/eV/f.u.
! SG: No. 123
&SYSTEM
  ibrav = 0, nat = 5, ntyp = 4
/
ATOMIC_SPECIES
Mn 54.94 Mn.upf
As 74.92 As.upf
Pb 207.20 Pb.upf
Se 78.96 Se.upf
CELL_PARAMETERS angstrom
4.996 0.000 0.000
0.000 4.996 0.000
0.000 0.000 4.484
ATOMIC_POSITIONS crystal
Mn 0.000 0.000 0.000
As 0.000 0.000 0.500
Pb 0.500 0.500 0.500
Se 0.000 0.500 0.000
Se 0.500 0.000 0.000


No. 8
! Ac8Ge3Te4As, relaxed, DFT PBE-GGA; values from VASP
! ΔE_f (raw): -1.309 eV/atom
! E: -84.9 eV/cell
! Crystal system: trigonal
! DOS(E_F): 3.8 states/eV/f.u.
! SG: No. 166
&SYSTEM
  ibrav = 0, nat = 16, ntyp = 4
/
ATOMIC_SPECIES
Ac 227.00 Ac.upf
Ge 72.64 Ge.upf
Te 127.60 Te.upf
As 74.92 As.upf
CELL_PARAMETERS angstrom
4.654 2.687 7.762
-4.654 2.687 7.762
0.000 -5.374 7.762
ATOMIC_POSITIONS crystal
Ac 0.239 0.742 0.742
Ac 0.241 0.241 0.241
Ac 0.258 0.258 0.761
Ac 0.258 0.761 0.258
Ac 0.742 0.239 0.742
Ac 0.742 0.742 0.239
Ac 0.759 0.759 0.759
Ac 0.761 0.258 0.258
Ge 0.000 0.000 0.500
Ge 0.000 0.500 0.000
Ge 0.500 0.000 0.000
Te 0.000 0.000 0.000
Te 0.000 0.500 0.500
Te 0.500 0.000 0.500
Te 0.500 0.500 0.000
As 0.500 0.500 0.500